[1]
Entry from the Alexandria database: crystalline Sb2Te2Se at its relaxed geometry (PBEsol).

Output
The calculation puts the spin magnetization at 0.000 Bohr magnetons per cell. The energy above the most stable polymorph in this dataset is 29 meV/atom. For the raw formation energy, the calculation gives -158 meV per atom.

Structure (CIF):
```
data_Sb2Te2Se
_chemical_formula_sum 'Sb2 Te2 Se1'
_symmetry_space_group_name_H-M 'P 1'
_symmetry_Int_Tables_number 1
_cell_length_a 4.1923
_cell_length_b 4.1923
_cell_length_c 10.0050
_cell_angle_alpha 77.91
_cell_angle_beta 77.91
_cell_angle_gamma 60.00
loop_
_symmetry_equiv_pos_as_xyz
'x,y,z'
loop_
_atom_site_label
_atom_site_type_symbol
_atom_site_fract_x
_atom_site_fract_y
_atom_site_fract_z
Te1 Te 0.7936 0.7936 0.6193
Te2 Te 0.9970 0.9970 0.0089
Sb1 Sb 0.5965 0.5965 0.2106
Sb2 Sb 0.4005 0.4005 0.7984
Se1 Se 0.2124 0.2124 0.3629
```

[2]
Entry from the Alexandria database: crystalline TlInGe2 at its relaxed geometry (PBEsol).

Output
The calculation puts the spin magnetization at 0.000 Bohr magnetons per cell. The calculated formation energy is 5.84 kcal/mol of atoms.

Structure (CIF):
```
data_TlInGe2
_chemical_formula_sum 'Tl1 In1 Ge2'
_symmetry_space_group_name_H-M 'P 1'
_symmetry_Int_Tables_number 1
_cell_length_a 5.0397
_cell_length_b 5.0397
_cell_length_c 5.0397
_cell_angle_alpha 60.00
_cell_angle_beta 60.00
_cell_angle_gamma 60.00
loop_
_symmetry_equiv_pos_as_xyz
'x,y,z'
loop_
_atom_site_label
_atom_site_type_symbol
_atom_site_fract_x
_atom_site_fract_y
_atom_site_fract_z
Ge1 Ge 0.2500 0.2500 0.2500
Ge2 Ge 0.7500 0.7500 0.7500
Tl1 Tl 0.5000 0.5000 0.5000
In1 In 0.0000 0.0000 0.0000
```

[3]
Entry from the Alexandria database: crystalline LiTiO2 at its relaxed geometry (PBEsol).

Output
The calculation puts the spin magnetization at 1.649 Bohr magnetons per cell. For the raw formation energy, the calculation gives -2662 meV per atom.

Structure (CIF):
```
data_LiTiO2
_chemical_formula_sum 'Li2 Ti2 O4'
_symmetry_space_group_name_H-M 'P 1'
_symmetry_Int_Tables_number 1
_cell_length_a 2.8420
_cell_length_b 2.8420
_cell_length_c 10.0617
_cell_angle_alpha 90.00
_cell_angle_beta 90.00
_cell_angle_gamma 120.00
loop_
_symmetry_equiv_pos_as_xyz
'x,y,z'
loop_
_atom_site_label
_atom_site_type_symbol
_atom_site_fract_x
_atom_site_fract_y
_atom_site_fract_z
O1 O 0.6667 0.3333 0.1286
O2 O 0.3333 0.6667 0.6286
O3 O 0.6667 0.3333 0.3714
O4 O 0.3333 0.6667 0.8714
Ti1 Ti 0.6667 0.3333 0.7500
Ti2 Ti 0.3333 0.6667 0.2500
Li1 Li 0.0000 0.0000 0.5000
Li2 Li 0.0000 0.0000 0.0000
```

[4]
Entry from the Alexandria database: crystalline Ba2HgRh at its relaxed geometry (PBEsol).

Output
The calculation puts the spin magnetization at 0.000 Bohr magnetons per cell. The calculated formation energy is -3.39 kcal/mol of atoms.

Structure (CIF):
```
data_Ba2HgRh
_chemical_formula_sum 'Ba2 Hg1 Rh1'
_symmetry_space_group_name_H-M 'P 1'
_symmetry_Int_Tables_number 1
_cell_length_a 4.0818
_cell_length_b 5.3634
_cell_length_c 5.3634
_cell_angle_alpha 89.98
_cell_angle_beta 89.96
_cell_angle_gamma 89.96
loop_
_symmetry_equiv_pos_as_xyz
'x,y,z'
loop_
_atom_site_label
_atom_site_type_symbol
_atom_site_fract_x
_atom_site_fract_y
_atom_site_fract_z
Rh1 Rh 0.5000 0.0000 0.0000
Ba1 Ba 0.0000 0.5000 0.0000
Ba2 Ba 0.0000 0.0000 0.5000
Hg1 Hg 0.5000 0.5000 0.5000
```

[5]
Entry from the Alexandria database: crystalline Cu2MoIr at its relaxed geometry (PBEsol).

Output
The calculation puts the spin magnetization at 0.000 Bohr magnetons per cell. The energy above the most stable polymorph in this dataset is 0 meV/atom. The calculated formation energy is 2.13 kcal/mol of atoms.

Structure (CIF):
```
data_Cu2MoIr
_chemical_formula_sum 'Cu2 Mo1 Ir1'
_symmetry_space_group_name_H-M 'P 1'
_symmetry_Int_Tables_number 1
_cell_length_a 2.6948
_cell_length_b 4.5639
_cell_length_c 4.5567
_cell_angle_alpha 99.72
_cell_angle_beta 90.00
_cell_angle_gamma 107.17
loop_
_symmetry_equiv_pos_as_xyz
'x,y,z'
loop_
_atom_site_label
_atom_site_type_symbol
_atom_site_fract_x
_atom_site_fract_y
_atom_site_fract_z
Mo1 Mo 0.7507 0.5014 0.2671
Ir1 Ir 0.5038 0.0076 0.4843
Cu1 Cu 0.9957 0.9914 0.9767
Cu2 Cu 0.2498 0.4996 0.7719
```

[6]
Entry from the Alexandria database: crystalline TmFe6Sn6 at its relaxed geometry (PBEsol).

Output
The calculation puts the spin magnetization at 11.965 Bohr magnetons per cell. The calculated formation energy is -3.27 kcal/mol of atoms.

Structure (CIF):
```
data_TmFe6Sn6
_chemical_formula_sum 'Tm1 Fe6 Sn6'
_symmetry_space_group_name_H-M 'P 1'
_symmetry_Int_Tables_number 1
_cell_length_a 5.3087
_cell_length_b 5.3087
_cell_length_c 8.7676
_cell_angle_alpha 90.00
_cell_angle_beta 90.00
_cell_angle_gamma 120.00
loop_
_symmetry_equiv_pos_as_xyz
'x,y,z'
loop_
_atom_site_label
_atom_site_type_symbol
_atom_site_fract_x
_atom_site_fract_y
_atom_site_fract_z
Sn1 Sn 0.6667 0.3333 0.5000
Sn2 Sn 0.0000 0.0000 0.3361
Sn3 Sn 0.0000 0.0000 0.6639
Sn4 Sn 0.3333 0.6667 0.5000
Sn5 Sn 0.3333 0.6667 0.0000
Sn6 Sn 0.6667 0.3333 0.0000
Fe1 Fe 0.5000 0.0000 0.2466
Fe2 Fe 0.5000 0.0000 0.7534
Fe3 Fe 0.0000 0.5000 0.7534
Fe4 Fe 0.0000 0.5000 0.2466
Fe5 Fe 0.5000 0.5000 0.2466
Fe6 Fe 0.5000 0.5000 0.7534
Tm1 Tm 0.0000 0.0000 0.0000
```

[7]
Entry from the Alexandria database: crystalline Tl2PtWI at its relaxed geometry (PBEsol).

Output
The calculation puts the spin magnetization at 0.003 Bohr magnetons per cell. For the raw formation energy, the calculation gives 857 meV per atom.

Structure (CIF):
```
data_Tl2PtWI
_chemical_formula_sum 'Tl2 Pt1 W1 I1'
_symmetry_space_group_name_H-M 'P 1'
_symmetry_Int_Tables_number 1
_cell_length_a 4.7335
_cell_length_b 5.5046
_cell_length_c 5.5046
_cell_angle_alpha 90.00
_cell_angle_beta 90.00
_cell_angle_gamma 90.00
loop_
_symmetry_equiv_pos_as_xyz
'x,y,z'
loop_
_atom_site_label
_atom_site_type_symbol
_atom_site_fract_x
_atom_site_fract_y
_atom_site_fract_z
W1 W 0.0000 0.0000 0.0000
Tl1 Tl 0.0000 0.5000 0.0000
Tl2 Tl 0.0000 0.0000 0.5000
I1 I 0.5000 0.5000 0.5000
Pt1 Pt 0.5000 0.0000 0.0000
```

[8]
Entry from the Alexandria database: crystalline Sr2NiAg at its relaxed geometry (PBEsol).

Output
The calculation puts the spin magnetization at 0.000 Bohr magnetons per cell. The calculated formation energy is 4.53 kcal/mol of atoms.

Structure (CIF):
```
data_Sr2NiAg
_chemical_formula_sum 'Sr2 Ni1 Ag1'
_symmetry_space_group_name_H-M 'P 1'
_symmetry_Int_Tables_number 1
_cell_length_a 4.3624
_cell_length_b 4.3624
_cell_length_c 6.1503
_cell_angle_alpha 90.00
_cell_angle_beta 90.00
_cell_angle_gamma 90.00
loop_
_symmetry_equiv_pos_as_xyz
'x,y,z'
loop_
_atom_site_label
_atom_site_type_symbol
_atom_site_fract_x
_atom_site_fract_y
_atom_site_fract_z
Sr1 Sr 0.0000 0.0000 0.8803
Sr2 Sr 0.5000 0.5000 0.3692
Ni1 Ni 0.5000 0.5000 0.8671
Ag1 Ag 0.0000 0.0000 0.3834
```

[9]
Entry from the Alexandria database: crystalline Ta2NbTlBi at its relaxed geometry (PBEsol).

Output
The calculation puts the spin magnetization at 1.168 Bohr magnetons per cell. The calculated formation energy is 56.69 kcal/mol of atoms.

Structure (CIF):
```
data_Ta2NbTlBi
_chemical_formula_sum 'Ta2 Nb1 Tl1 Bi1'
_symmetry_space_group_name_H-M 'P 1'
_symmetry_Int_Tables_number 1
_cell_length_a 5.1042
_cell_length_b 5.1042
_cell_length_c 5.4362
_cell_angle_alpha 90.00
_cell_angle_beta 90.00
_cell_angle_gamma 90.00
loop_
_symmetry_equiv_pos_as_xyz
'x,y,z'
loop_
_atom_site_label
_atom_site_type_symbol
_atom_site_fract_x
_atom_site_fract_y
_atom_site_fract_z
Tl1 Tl 0.0000 0.0000 0.5000
Bi1 Bi 0.0000 0.0000 0.0000
Nb1 Nb 0.5000 0.5000 0.5000
Ta1 Ta 0.0000 0.5000 0.0000
Ta2 Ta 0.5000 0.0000 0.0000
```

[10]
Entry from the Alexandria database: crystalline TlTcMo at its relaxed geometry (PBEsol).

Output
The calculation puts the spin magnetization at 0.000 Bohr magnetons per cell. The calculated formation energy is 14.57 kcal/mol of atoms.

Structure (CIF):
```
data_TlTcMo
_chemical_formula_sum 'Tl1 Tc1 Mo1'
_symmetry_space_group_name_H-M 'P 1'
_symmetry_Int_Tables_number 1
_cell_length_a 3.0587
_cell_length_b 4.3963
_cell_length_c 4.3963
_cell_angle_alpha 120.00
_cell_angle_beta 90.00
_cell_angle_gamma 90.00
loop_
_symmetry_equiv_pos_as_xyz
'x,y,z'
loop_
_atom_site_label
_atom_site_type_symbol
_atom_site_fract_x
_atom_site_fract_y
_atom_site_fract_z
Tc1 Tc 0.7729 0.6667 0.3333
Mo1 Mo 0.8884 0.0000 0.0000
Tl1 Tl 0.3386 0.3333 0.6667
```

It is found that the uncorrected energy values, taken in the order of the records, are -20.807; -14.479; -62.869; -13.591; -29.891; -86.078; -23.513; -12.363; -30.548; -23.769 eV for the cell shown.